(1)
## Y3NbPt (GGA-PBE)

Data for Y3NbPt after structural relaxation.

a b c (Å): 5.387 5.387 5.387
angles (deg): 90.00 90.00 90.00
Atoms (fractional coordinates):
Y (0.000, 0.000, 0.500)
Y (0.000, 0.500, 0.000)
Y (0.500, 0.000, 0.000)
Nb (0.500, 0.500, 0.500)
Pt (0.000, 0.000, 0.000)

Values from the calculation:
excess energy over the best structure of this formula in the dataset = 0.00 kJ per mole of atoms
calculated formation energy = 0.17 eV per atom
calculated volume = 31.27 Å³/atom

=====

(2)
## Na2PrUS4 (GGA-PBE)

Data for Na2PrUS4 after structural relaxation.

a b c (Å): 7.052 4.070 7.124
angles (deg): 90.00 109.25 90.00
Atoms (fractional coordinates):
Na (0.000, 0.000, 0.000)
Na (0.500, 0.500, 0.000)
Pr (0.000, 0.500, 0.500)
U (0.500, 0.000, 0.500)
S (0.255, 0.000, 0.736)
S (0.266, 0.500, 0.270)
S (0.734, 0.500, 0.730)
S (0.745, 0.000, 0.264)

Values from the calculation:
uncorrected formation energy = -1545.8 meV per atom
calculated volume = 24.13 Å³/atom

=====

(3)
## Li2RePt2 (GGA-PBE)

Data for Li2RePt2 after structural relaxation.

a b c (Å): 6.978 6.978 2.710
angles (deg): 90.00 90.00 90.00
Atoms (fractional coordinates):
Li (0.106, 0.394, 0.000)
Li (0.394, 0.894, 0.000)
Li (0.606, 0.106, 0.000)
Li (0.894, 0.606, 0.000)
Re (0.000, 0.000, 0.000)
Re (0.500, 0.500, 0.000)
Pt (0.195, 0.695, 0.500)
Pt (0.305, 0.195, 0.500)
Pt (0.695, 0.805, 0.500)
Pt (0.805, 0.305, 0.500)

Values from the calculation:
excess energy over the best structure of this formula in the dataset = 0.00 kJ per mole of atoms
calculated formation energy = -0.19 eV per atom
calculated volume = 13.20 Å³/atom

=====

(4)
## Sr2MnCu3As4 (GGA-PBE)

Data for Sr2MnCu3As4 after structural relaxation.

a b c (Å): 4.379 4.379 10.212
angles (deg): 90.00 90.00 90.00
Atoms (fractional coordinates):
Sr (0.000, 0.500, 0.240)
Sr (0.500, 0.000, 0.760)
Mn (0.000, 0.000, 0.500)
Cu (0.000, 0.500, 0.878)
Cu (0.500, 0.000, 0.122)
Cu (0.500, 0.500, 0.500)
As (0.000, 0.000, 0.000)
As (0.000, 0.500, 0.635)
As (0.500, 0.000, 0.365)
As (0.500, 0.500, 0.000)

Values from the calculation:
calculated formation energy = -0.53 eV per atom
calculated volume = 19.58 Å³/atom

=====

(5)
## TbPrZn3 (GGA-PBE)

Data for TbPrZn3 after structural relaxation.

a b c (Å): 14.011 14.011 4.513
angles (deg): 90.00 90.00 165.24
Atoms (fractional coordinates):
Tb (0.069, 0.931, 0.750)
Tb (0.931, 0.069, 0.250)
Pr (0.208, 0.792, 0.250)
Pr (0.792, 0.208, 0.750)
Zn (0.337, 0.663, 0.250)
Zn (0.386, 0.614, 0.750)
Zn (0.477, 0.523, 0.750)
Zn (0.523, 0.477, 0.250)
Zn (0.614, 0.386, 0.250)
Zn (0.663, 0.337, 0.750)

Values from the calculation:
calculated formation energy = -0.32 eV per atom
calculated volume = 22.58 Å³/atom